No. 1
The following is a DFT calculation (GGA-PBE) of crystalline LuCdCuAu at its relaxed geometry.

Calculated values
Total magnetization: 0.0 μB per formula unit
ΔE_f: -0.286 eV/atom
Space-group type: F-43m (216)

a b c (Å): 4.720 4.720 4.720
angles (deg): 60.00 60.00 60.00
Sites, in units of the cell vectors:
1 Cu 0.500 0.500 0.500
2 Cd 0.000 0.000 0.000
3 Au 0.250 0.250 0.250
4 Lu 0.750 0.750 0.750


No. 2
The following is a DFT calculation (GGA-PBE) of crystalline LuCdCuAu at its relaxed geometry.

Calculated values
Total magnetization: 0.0 μB per formula unit
ΔE_f: -0.435 eV/atom
Space-group type: F-43m (216)

a b c (Å): 4.758 4.758 4.758
angles (deg): 60.00 60.00 60.00
Sites, in units of the cell vectors:
1 Lu 0.750 0.750 0.750
2 Cd 0.250 0.250 0.250
3 Au 0.000 0.000 0.000
4 Cu 0.500 0.500 0.500


No. 3
The following is a DFT calculation (GGA-PBE) of crystalline LuCdCuAu at its relaxed geometry.

Calculated values
Total magnetization: 0.0 μB per formula unit
ΔE_f: -0.315 eV/atom
Space-group type: F-43m (216)

a b c (Å): 4.762 4.762 4.762
angles (deg): 60.00 60.00 60.00
Sites, in units of the cell vectors:
1 Cd 0.500 0.500 0.500
2 Lu 0.750 0.750 0.750
3 Cu 0.250 0.250 0.250
4 Au 0.000 0.000 0.000


No. 4
The following is a DFT calculation (GGA-PBE) of crystalline Mg2Sc2CdCu2Au at its relaxed geometry.

Calculated values
Total magnetization: 0.0 μB per formula unit
DFT total energy: -30.1 eV/cell
Space-group type: P-4m2 (115)

a b c (Å): 4.665 4.665 6.651
angles (deg): 90.00 90.00 90.00
Sites, in units of the cell vectors:
1 Sc 0.500 0.000 0.263
2 Sc 0.000 0.500 0.737
3 Cd 0.500 0.500 0.000
4 Mg 0.000 0.500 0.257
5 Mg 0.500 0.000 0.743
6 Cu 0.500 0.500 0.500
7 Cu 0.000 0.000 0.000
8 Au 0.000 0.000 0.500


Table of mass density (Mg/m³), in record order: 12.23 11.94 11.91 6.60